This record from Alexandria describes crystalline YTaAsN2 at its relaxed geometry. The functional is PBE.

Cell: 4.119 5.191 4.119 Å, 90.00 90.00 90.00°
Element x y z (fractional)
As (0.000, 0.000, 0.000)
N (0.500, 0.000, 0.000)
N (0.000, 0.000, 0.500)
Y (0.000, 0.500, 0.000)
Ta (0.500, 0.500, 0.500)

Size of the total moment ... 0.0001 μB/atom
ΔE_f (raw) ... 9.32 eV/f.u.
Symmetry ... P4/mmm (123)

=====

This record from Alexandria describes crystalline V3HgTe at its relaxed geometry. The functional is PBE.

Cell: 4.899 4.899 4.899 Å, 90.00 90.00 90.00°
Site moments in Bohr magnetons follow the coordinates.
Element x y z (fractional)
Te (0.000, 0.000, 0.000)  -0.06
Hg (0.500, 0.500, 0.500)  -0.05
V (0.000, 0.500, 0.000)  1.79
V (0.000, 0.000, 0.500)  1.79
V (0.500, 0.000, 0.000)  1.79

Size of the total moment ... 1.1829 μB/atom
ΔE_f (raw) ... 5.94 eV/f.u.
Symmetry ... Pm-3m (221)
Distance to the lowest polymorph of the same formula ... 0.000 eV per atom

=====

This record from Alexandria describes crystalline ErZn7Au12 at its relaxed geometry. The functional is PBE.

Cell: 8.268 8.268 8.268 Å, 109.47 109.47 109.47°
Element x y z (fractional)
Au (0.276, 0.847, 0.123)
Zn (0.500, 0.000, 0.500)
Zn (0.000, 0.500, 0.500)
Zn (0.000, 0.000, 0.500)
Au (0.429, 0.276, 0.153)
Zn (0.000, 0.500, 0.000)
Au (0.847, 0.571, 0.724)
Au (0.724, 0.847, 0.571)
Au (0.724, 0.153, 0.877)
Zn (0.500, 0.500, 0.500)
Zn (0.500, 0.500, 0.000)
Au (0.276, 0.153, 0.429)
Au (0.877, 0.724, 0.153)
Au (0.123, 0.276, 0.847)
Au (0.153, 0.877, 0.724)
Au (0.571, 0.724, 0.847)
Zn (0.500, 0.000, 0.000)
Au (0.847, 0.123, 0.276)
Au (0.153, 0.429, 0.276)
Er (0.000, 0.000, 0.000)

Size of the total moment ... 0.0000 μB/atom
ΔE_f ... -0.044 eV/atom
Symmetry ... Im-3 (204)

=====

This record from Alexandria describes crystalline ScZn3Ga3 at its relaxed geometry. The functional is PBE.

Cell: 6.866 6.866 6.866 Å, 90.00 90.00 90.00°
Element x y z (fractional)
Zn (0.750, 0.000, 0.500)
Sc (0.000, 0.000, 0.000)
Ga (0.500, 0.000, 0.750)
Sc (0.500, 0.500, 0.500)
Ga (0.250, 0.500, 0.000)
Ga (0.000, 0.750, 0.500)
Zn (0.000, 0.500, 0.250)
Zn (0.250, 0.000, 0.500)
Zn (0.000, 0.500, 0.750)
Ga (0.500, 0.000, 0.250)
Zn (0.500, 0.750, 0.000)
Zn (0.500, 0.250, 0.000)
Ga (0.750, 0.500, 0.000)
Ga (0.000, 0.250, 0.500)

Size of the total moment ... 0.0000 μB/atom
ΔE_f ... 0.379 eV/atom
Symmetry ... Pm-3n (223)
Distance to the lowest polymorph of the same formula ... 0.516 eV per atom

=====

This record from Alexandria describes crystalline CdTe2HN at its relaxed geometry. The functional is PBE.

Cell: 5.821 5.821 4.022 Å, 90.00 90.00 90.00°
Site moments in Bohr magnetons follow the coordinates.
Element x y z (fractional)
N (0.000, 0.000, 0.500)  0.01
Te (0.000, 0.500, 0.000)  -0.08
Cd (0.000, 0.000, 0.000)  0.00
H (0.500, 0.500, 0.500)  0.34
Te (0.500, 0.000, 0.000)  -0.08

Size of the total moment ... 0.1090 μB/atom
Symmetry ... P4/mmm (123)
Distance to the lowest polymorph of the same formula ... 0.674 eV per atom

=====

This record from Alexandria describes crystalline Ba3Mg5 at its relaxed geometry. The functional is PBE.

Cell: 11.405 11.405 5.680 Å, 90.00 90.00 120.06°
Element x y z (fractional)
Ba (0.370, 0.370, 0.250)
Ba (0.370, 0.000, 0.750)
Mg (0.000, 0.841, 0.750)
Ba (0.000, 0.370, 0.750)
Mg (0.334, 0.666, 0.500)
Mg (0.159, 0.159, 0.750)
Ba (0.630, 0.000, 0.250)
Mg (0.841, 0.000, 0.750)
Mg (0.334, 0.666, 0.000)
Mg (0.841, 0.841, 0.250)
Mg (0.159, 0.000, 0.250)
Ba (0.000, 0.630, 0.250)
Mg (0.666, 0.334, 0.500)
Mg (0.666, 0.334, 0.000)
Mg (0.000, 0.159, 0.250)
Ba (0.630, 0.630, 0.750)

Size of the total moment ... 0.0001 μB/atom
ΔE_f ... 0.091 eV/atom
Symmetry ... Cmcm (63)
Distance to the lowest polymorph of the same formula ... 0.055 eV per atom